A plane-wave DFT calculation with GGA+U was carried out for BaCrRuO6 after structural relaxation.

- final energy (eV/atom) = -6.97
- space-group type = No. 5
- D(E_F) (states/eV/cell) = 0.21

Cell lengths 5.1684, 5.1684, 5.7382 Å; angles 91.11, 91.11, 117.94 degrees
Last column: nearest neighbours and their distance in Å.
Positions (direct):
Ba: 0.0000 0.0000 0.0000  6 O 2.70-2.77
Cr: 0.3216 0.6784 0.5000  6 O 1.86-2.00
Ru: 0.6698 0.3302 0.5000  6 O 1.88-2.00
O: 0.9997 0.6052 0.3070  1 Cr 1.86, 1 Ru 2.00
O: 0.3840 0.3919 0.3176  1 Ru 1.94, 1 Cr 1.95
O: 0.3948 0.0003 0.6930  1 Cr 1.86, 1 Ru 2.00
O: 0.5920 0.0042 0.3034  1 Ru 1.88, 1 Cr 2.00
O: 0.6081 0.6160 0.6824  1 Ru 1.94, 1 Cr 1.95
O: 0.9958 0.4080 0.6966  1 Ru 1.88, 1 Cr 2.00